1.
A geometry-optimized ZnH2S structure. Source: the Alexandria database, functional PBE-GGA.

a = 6.7764 Å, b = 6.7764 Å, c = 6.7764 Å
α = 25.90°, β = 25.90°, γ = 25.90°
Fractional positions:
Zn 0.0000 0.0000 0.0000
H 0.1415 0.1415 0.1415
H 0.8585 0.8585 0.8585
S 0.5000 0.5000 0.5000

Results
**Crystal system**: trigonal
**E above lowest polymorph**: 925.5 meV/atom
**Space-group type**: R-3m (166)


2.
A geometry-optimized CeU2C structure. Source: the Alexandria database, functional PBE-GGA.

a = 2.9439 Å, b = 2.9439 Å, c = 8.3228 Å
α = 90.00°, β = 90.00°, γ = 90.00°
Fractional positions:
Ce 0.0000 0.0000 0.0000
U 0.5000 0.5000 0.3312
U 0.5000 0.5000 0.6688
C 0.0000 0.0000 0.5000

Results
**Crystal system**: tetragonal
**Formation energy from the elements**: 0.241 eV per atom
**Space-group type**: P4/mmm (123)


| no. | size of the total moment (μB/f.u.) |
| --- | --- |
| 1 | 0.0 |
| 2 | 1.1 |